1.
Material: Tl2CoHg
Method: DFT, PBE-GGA
State: relaxed

Calculated values
formation energy	0.60	eV per atom
total moment	1.6	μB/f.u.

a b c (Å): 5.107 5.107 5.107
angles (deg): 60.00 60.00 60.00
Sites, in units of the cell vectors:
1 Tl 0.000 0.000 0.000
2 Tl 0.250 0.250 0.250
3 Co 0.750 0.750 0.750
4 Hg 0.500 0.500 0.500

***

2.
Material: Y2HoHf
Method: DFT, PBE-GGA
State: relaxed

Calculated values
formation energy	0.15	eV per atom
total moment	0.0	μB/f.u.

a b c (Å): 4.853 4.853 4.856
angles (deg): 90.00 90.00 90.00
Sites, in units of the cell vectors:
1 Y 0.000 0.500 0.000
2 Y 0.500 0.000 0.000
3 Ho 0.000 0.000 0.500
4 Hf 0.500 0.500 0.500

***

3.
Material: SrNp4
Method: DFT, PBE-GGA
State: relaxed

Calculated values
formation energy	2.18	eV per atom
total moment	18.3	μB/f.u.

a b c (Å): 5.397 5.397 5.397
angles (deg): 90.00 90.00 90.00
Sites, in units of the cell vectors:
1 Sr 0.000 0.000 0.000
2 Np 0.000 0.000 0.500
3 Np 0.000 0.500 0.000
4 Np 0.500 0.000 0.000
5 Np 0.500 0.500 0.500

***

4.
Material: Tb2PmY3P6
Method: DFT, PBE-GGA
State: relaxed

Calculated values
formation energy	-1.61	eV per atom
total moment	0.0	μB/f.u.

a b c (Å): 6.995 6.995 6.995
angles (deg): 99.59 99.59 119.99
Sites, in units of the cell vectors:
1 Tb 0.167 0.833 0.000
2 Tb 0.833 0.167 0.000
3 Pm 0.500 0.500 0.000
4 Y 0.000 0.000 0.500
5 Y 0.334 0.666 0.500
6 Y 0.666 0.334 0.500
7 P 0.079 0.416 0.747
8 P 0.247 0.247 0.253
9 P 0.416 0.079 0.747
10 P 0.584 0.921 0.253
11 P 0.753 0.753 0.747
12 P 0.921 0.584 0.253

***

5.
Material: Si2NiW
Method: DFT, PBE-GGA
State: relaxed

Calculated values
raw formation energy	-0.07	eV/atom
total moment	0.0	μB/f.u.

a b c (Å): 8.085 8.085 8.085
angles (deg): 19.84 19.84 19.84
Sites, in units of the cell vectors:
1 Si 0.243 0.243 0.243
2 Si 0.757 0.757 0.757
3 Ni 0.500 0.500 0.500
4 W 0.000 0.000 0.000

***

6.
Material: CsKCuHg2
Method: DFT, PBE-GGA
State: relaxed

Calculated values
formation energy	0.01	eV per atom
total moment	0.0	μB/f.u.

a b c (Å): 5.410 5.410 6.000
angles (deg): 90.00 90.00 90.00
Sites, in units of the cell vectors:
1 Cs 0.000 0.000 0.000
2 K 0.500 0.500 0.000
3 Cu 0.500 0.500 0.500
4 Hg 0.000 0.500 0.500
5 Hg 0.500 0.000 0.500

***

7.
Material: KRbCdHg2
Method: DFT, PBE-GGA
State: relaxed

Calculated values
formation energy	-0.10	eV per atom
total moment	0.0	μB/f.u.

a b c (Å): 6.492 6.492 10.681
angles (deg): 90.00 90.00 109.73
Sites, in units of the cell vectors:
1 K 0.000 0.000 0.000
2 K 0.500 0.500 0.000
3 Rb 0.250 0.750 0.676
4 Rb 0.750 0.250 0.324
5 Cd 0.250 0.250 0.500
6 Cd 0.750 0.750 0.500
7 Hg 0.109 0.891 0.301
8 Hg 0.391 0.609 0.301
9 Hg 0.609 0.391 0.699
10 Hg 0.891 0.109 0.699

***

8.
Material: TaWS2Cl
Method: DFT, PBE-GGA
State: relaxed

Calculated values
raw formation energy	0.74	eV/atom
total moment	4.7	μB/f.u.

a b c (Å): 4.831 4.831 4.711
angles (deg): 90.00 90.00 90.00
Sites, in units of the cell vectors:
1 Ta 0.000 0.000 0.000
2 W 0.500 0.500 0.500
3 S 0.000 0.500 0.000
4 S 0.500 0.000 0.000
5 Cl 0.000 0.000 0.500

***

9.
Material: Nd3P2Br
Method: DFT, PBE-GGA
State: relaxed

Calculated values
raw formation energy	-1.18	eV/atom
total moment	0.9	μB/f.u.

a b c (Å): 8.208 8.208 11.698
angles (deg): 90.00 90.00 150.65
Sites, in units of the cell vectors:
1 Nd 0.002 0.998 0.750
2 Nd 0.377 0.623 0.015
3 Nd 0.377 0.623 0.485
4 Nd 0.623 0.377 0.515
5 Nd 0.623 0.377 0.985
6 Nd 0.998 0.002 0.250
7 P 0.000 0.000 0.000
8 P 0.000 0.000 0.500
9 P 0.376 0.624 0.250
10 P 0.624 0.376 0.750
11 Br 0.353 0.647 0.750
12 Br 0.647 0.353 0.250

***

10.
Material: Li4Dy3Tl4
Method: DFT, PBE-GGA
State: relaxed

Calculated values
formation energy	-0.25	eV per atom
total moment	0.0	μB/f.u.

a b c (Å): 8.670 8.670 8.670
angles (deg): 148.25 131.02 59.56
Sites, in units of the cell vectors:
1 Li 0.011 0.825 0.186
2 Li 0.362 0.175 0.186
3 Li 0.638 0.825 0.814
4 Li 0.989 0.175 0.814
5 Dy 0.000 0.500 0.500
6 Dy 0.382 0.382 0.000
7 Dy 0.618 0.618 0.000
8 Tl 0.219 0.719 0.500
9 Tl 0.288 0.000 0.288
10 Tl 0.712 0.000 0.712
11 Tl 0.781 0.281 0.500

***

11.
Material: TeIN3
Method: DFT, PBE-GGA
State: relaxed

Calculated values
raw formation energy	2.24	eV/atom
total moment	0.0	μB/f.u.

a b c (Å): 4.071 4.071 4.071
angles (deg): 90.00 90.00 90.00
Sites, in units of the cell vectors:
1 Te 0.000 0.000 0.000
2 I 0.500 0.500 0.500
3 N 0.000 0.500 0.500
4 N 0.500 0.000 0.500
5 N 0.500 0.500 0.000

***

12.
Material: PmSm12Tl6
Method: DFT, PBE-GGA
State: relaxed

Calculated values
formation energy	0.00	eV per atom
total moment	0.0	μB/f.u.

a b c (Å): 8.972 8.972 8.972
angles (deg): 103.12 103.12 103.12
Sites, in units of the cell vectors:
1 Pm 0.000 0.000 0.000
2 Sm 0.117 0.500 0.883
3 Sm 0.117 0.883 0.500
4 Sm 0.175 0.440 0.440
5 Sm 0.440 0.175 0.440
6 Sm 0.440 0.440 0.175
7 Sm 0.500 0.117 0.883
8 Sm 0.500 0.883 0.117
9 Sm 0.560 0.560 0.825
10 Sm 0.560 0.825 0.560
11 Sm 0.825 0.560 0.560
12 Sm 0.883 0.117 0.500
13 Sm 0.883 0.500 0.117
14 Tl 0.250 0.250 0.711
15 Tl 0.250 0.711 0.250
16 Tl 0.289 0.750 0.750
17 Tl 0.711 0.250 0.250
18 Tl 0.750 0.289 0.750
19 Tl 0.750 0.750 0.289

***

13.
Material: Fe3IrPb
Method: DFT, PBE-GGA
State: relaxed

Calculated values
formation energy	0.98	eV per atom
total moment	10.0	μB/f.u.

a b c (Å): 4.719 4.719 4.719
angles (deg): 90.00 90.00 90.00
Sites, in units of the cell vectors:
1 Fe 0.000 0.000 0.500
2 Fe 0.000 0.500 0.000
3 Fe 0.500 0.000 0.000
4 Ir 0.000 0.000 0.000
5 Pb 0.500 0.500 0.500

***

14.
Material: ZrAl2TlTe
Method: DFT, PBE-GGA
State: relaxed

Calculated values
raw formation energy	0.80	eV/atom
total moment	0.0	μB/f.u.

a b c (Å): 5.388 5.388 5.690
angles (deg): 90.00 90.00 90.00
Sites, in units of the cell vectors:
1 Zr 0.000 0.000 0.000
2 Al 0.000 0.500 0.000
3 Al 0.500 0.000 0.000
4 Tl 0.000 0.000 0.500
5 Te 0.500 0.500 0.500

***

15.
Material: Li2PmSeN
Method: DFT, PBE-GGA
State: relaxed

Calculated values
raw formation energy	-1.21	eV/atom
total moment	0.0	μB/f.u.

a b c (Å): 6.326 6.326 7.137
angles (deg): 90.00 90.00 146.73
Sites, in units of the cell vectors:
1 Li 0.159 0.841 0.555
2 Li 0.159 0.841 0.945
3 Li 0.841 0.159 0.055
4 Li 0.841 0.159 0.445
5 Pm 0.467 0.533 0.750
6 Pm 0.533 0.467 0.250
7 Se 0.260 0.740 0.250
8 Se 0.740 0.260 0.750
9 N 0.000 0.000 0.000
10 N 0.000 0.000 0.500

***

16.
Material: Tb7Pm12Er
Method: DFT, PBE-GGA
State: relaxed

Calculated values
formation energy	0.27	eV per atom
total moment	0.0	μB/f.u.

a b c (Å): 8.824 8.824 8.824
angles (deg): 94.19 94.19 94.19
Sites, in units of the cell vectors:
1 Tb 0.000 0.000 0.000
2 Tb 0.150 0.478 0.415
3 Tb 0.415 0.150 0.478
4 Tb 0.478 0.415 0.150
5 Tb 0.522 0.585 0.850
6 Tb 0.585 0.850 0.522
7 Tb 0.850 0.522 0.585
8 Pm 0.020 0.353 0.087
9 Pm 0.087 0.020 0.353
10 Pm 0.186 0.319 0.750
11 Pm 0.250 0.814 0.681
12 Pm 0.319 0.750 0.186
13 Pm 0.353 0.087 0.020
14 Pm 0.647 0.913 0.980
15 Pm 0.681 0.250 0.814
16 Pm 0.750 0.186 0.319
17 Pm 0.814 0.681 0.250
18 Pm 0.913 0.980 0.647
19 Pm 0.980 0.647 0.913
20 Er 0.500 0.500 0.500

***

17.
Material: Li2Ta2NiSe6
Method: DFT, PBE-GGA
State: relaxed

Calculated values
raw formation energy	-0.72	eV/atom
total moment	1.9	μB/f.u.

a b c (Å): 6.314 6.314 6.854
angles (deg): 97.28 97.28 120.79
Sites, in units of the cell vectors:
1 Li 0.186 0.814 0.000
2 Li 0.814 0.186 0.000
3 Ta 0.364 0.636 0.500
4 Ta 0.636 0.364 0.500
5 Ni 0.000 0.000 0.500
6 Se 0.050 0.391 0.716
7 Se 0.247 0.247 0.238
8 Se 0.391 0.050 0.716
9 Se 0.609 0.950 0.284
10 Se 0.753 0.753 0.762
11 Se 0.950 0.609 0.284

***

18.
Material: Sc2AlV
Method: DFT, PBE-GGA
State: relaxed

Calculated values
formation energy	0.09	eV per atom
total moment	0.0	μB/f.u.

a b c (Å): 9.635 9.635 9.635
angles (deg): 18.29 18.29 18.29
Sites, in units of the cell vectors:
1 Sc 0.247 0.247 0.247
2 Sc 0.753 0.753 0.753
3 Al 0.000 0.000 0.000
4 V 0.500 0.500 0.500

***

19.
Material: K2NpSb4Au3
Method: DFT, PBE-GGA
State: relaxed

Calculated values
raw formation energy	-0.25	eV/atom
total moment	3.8	μB/f.u.

a b c (Å): 4.834 4.834 12.325
angles (deg): 90.00 90.00 90.00
Sites, in units of the cell vectors:
1 K 0.000 0.500 0.238
2 K 0.500 0.000 0.762
3 Np 0.000 0.000 0.500
4 Sb 0.000 0.000 0.000
5 Sb 0.000 0.500 0.648
6 Sb 0.500 0.000 0.352
7 Sb 0.500 0.500 0.000
8 Au 0.000 0.500 0.875
9 Au 0.500 0.000 0.125
10 Au 0.500 0.500 0.500

***

20.
Material: RbTlCr2Sb
Method: DFT, PBE-GGA
State: relaxed

Calculated values
raw formation energy	0.76	eV/atom
total moment	8.8	μB/f.u.

a b c (Å): 5.305 5.305 6.777
angles (deg): 90.00 90.00 90.00
Sites, in units of the cell vectors:
1 Rb 0.000 0.000 0.000
2 Tl 0.500 0.500 0.000
3 Cr 0.000 0.500 0.500
4 Cr 0.500 0.000 0.500
5 Sb 0.000 0.000 0.500

***

21.
Material: InTcTe2
Method: DFT, PBE-GGA
State: relaxed

Calculated values
raw formation energy	0.22	eV/atom
total moment	0.0	μB/f.u.

a b c (Å): 7.526 7.526 7.526
angles (deg): 125.71 125.71 80.36
Sites, in units of the cell vectors:
1 In 0.000 0.000 0.000
2 In 0.750 0.250 0.500
3 Tc 0.250 0.750 0.500
4 Tc 0.500 0.500 0.000
5 Te 0.192 0.625 0.067
6 Te 0.375 0.442 0.567
7 Te 0.558 0.125 0.933
8 Te 0.875 0.808 0.433

***

22.
Material: HPb
Method: DFT, PBE-GGA
State: relaxed

Calculated values
total energy	-12.5	eV for the cell shown
total moment	0.0	μB/f.u.

a b c (Å): 3.710 3.710 6.584
angles (deg): 105.37 105.37 60.46
Sites, in units of the cell vectors:
1 H 0.120 0.120 0.364
2 H 0.880 0.880 0.636
3 Pb 0.259 0.259 0.774
4 Pb 0.741 0.741 0.226

***

23.
Material: AsAuBr2Cl
Method: DFT, PBE-GGA
State: relaxed

Calculated values
raw formation energy	0.43	eV/atom
total moment	0.1	μB/f.u.

a b c (Å): 5.184 5.184 5.215
angles (deg): 90.00 90.00 90.00
Sites, in units of the cell vectors:
1 As 0.000 0.000 0.000
2 Au 0.000 0.000 0.500
3 Br 0.000 0.500 0.500
4 Br 0.500 0.000 0.500
5 Cl 0.500 0.500 0.000

***

24.
Material: BaGdMgSn
Method: DFT, PBE-GGA
State: relaxed

Calculated values
formation energy	-0.30	eV per atom
total moment	7.6	μB/f.u.

a b c (Å): 5.687 5.687 5.687
angles (deg): 60.00 60.00 60.00
Sites, in units of the cell vectors:
1 Ba 0.000 0.000 0.000
2 Gd 0.500 0.500 0.500
3 Mg 0.250 0.250 0.250
4 Sn 0.750 0.750 0.750

***

25.
Material: LiY2Re
Method: DFT, PBE-GGA
State: relaxed

Calculated values
formation energy	0.51	eV per atom
total moment	0.0	μB/f.u.

a b c (Å): 4.910 4.910 4.910
angles (deg): 60.00 60.00 60.00
Sites, in units of the cell vectors:
1 Li 0.000 0.000 0.000
2 Y 0.500 0.500 0.500
3 Y 0.750 0.750 0.750
4 Re 0.250 0.250 0.250